## LuPIrO (PBE)

Data for LuPIrO after structural relaxation.

a = 3.256 Å, b = 7.621 Å, c = 5.305 Å
α = 90.00°, β = 90.00°, γ = 90.00°
Atoms (fractional coordinates):
Ir1 0.500 0.718 0.445
Ir2 0.500 0.282 0.945
Lu1 0.000 0.285 0.459
Lu2 0.000 0.715 0.959
O1 0.500 0.446 0.395
O2 0.500 0.554 0.895
P1 0.000 0.924 0.455
P2 0.000 0.076 0.955

Calculated values
* total magnetization: 0.00 Bohr magnetons per cell
* space group: Pmc2_1
* energy above the most stable polymorph in this dataset: 636 meV per atom

---

## TbZnNO (PBE)

Data for TbZnNO after structural relaxation.

a = 3.601 Å, b = 5.691 Å, c = 5.856 Å
α = 90.00°, β = 90.00°, γ = 90.00°
Atoms (fractional coordinates):
N1 0.000 0.847 0.359
N2 0.000 0.347 0.641
O1 0.500 0.397 0.158
O2 0.500 0.897 0.842
Tb1 0.500 0.006 0.204
Tb2 0.500 0.506 0.796
Zn1 0.000 0.504 0.338
Zn2 0.000 0.004 0.662

Calculated values
* total magnetization: 0.00 Bohr magnetons per cell
* space group: Pmc2_1
* energy above the most stable polymorph in this dataset: 108 meV per atom

---

## ErCo (PBE)

Data for ErCo after structural relaxation.

a = 4.106 Å, b = 4.106 Å, c = 4.106 Å
α = 60.00°, β = 60.00°, γ = 60.00°
Atoms (fractional coordinates):
Co1 0.000 0.000 0.000
Er1 0.250 0.250 0.250

Calculated values
* total magnetization: 0.00 Bohr magnetons per cell
* space group: F-43m
* energy of formation: 0.93 eV per atom

---

## PmCdGa (PBE)

Data for PmCdGa after structural relaxation.

a = 4.785 Å, b = 4.785 Å, c = 4.785 Å
α = 60.00°, β = 60.00°, γ = 60.00°
Atoms (fractional coordinates):
Cd1 0.250 0.250 0.250
Ga1 0.000 0.000 0.000
Pm1 0.750 0.750 0.750

Calculated values
* total magnetization: 0.00 Bohr magnetons per cell
* space group: F-43m
* energy above the most stable polymorph in this dataset: 0 meV per atom

---

## TmLuCSe (PBE)

Data for TmLuCSe after structural relaxation.

a = 3.684 Å, b = 3.684 Å, c = 12.978 Å
α = 90.00°, β = 90.00°, γ = 120.00°
Atoms (fractional coordinates):
C1 0.000 0.000 0.250
C2 0.000 0.000 0.750
Lu1 0.667 0.333 0.349
Lu2 0.667 0.333 0.651
Se1 0.667 0.333 0.000
Se2 0.333 0.667 0.500
Tm1 0.333 0.667 0.151
Tm2 0.333 0.667 0.849

Calculated values
* total magnetization: 0.00 Bohr magnetons per cell
* space group: P-6m2
* VASP energy: -6.6204 eV per atom

---

## Lu4NiPbN2 (PBE)

Data for Lu4NiPbN2 after structural relaxation.

a = 3.434 Å, b = 3.434 Å, c = 14.288 Å
α = 90.00°, β = 90.00°, γ = 120.00°
Atoms (fractional coordinates):
Lu1 0.667 0.333 0.182
Lu2 0.000 0.000 0.368
Lu3 0.000 0.000 0.632
Lu4 0.667 0.333 0.818
N1 0.333 0.667 0.260
N2 0.333 0.667 0.740
Ni1 0.667 0.333 0.500
Pb1 0.000 0.000 0.000

Calculated values
* total magnetization: 0.01 Bohr magnetons per cell
* space group: P-6m2
* VASP energy: -6.5417 eV per atom

---

## PrGdGa4Pt2 (PBE)

Data for PrGdGa4Pt2 after structural relaxation.

a = 6.743 Å, b = 5.656 Å, c = 5.656 Å
α = 46.20°, β = 90.00°, γ = 90.00°
Atoms (fractional coordinates):
Ga1 0.198 0.368 0.368
Ga2 0.802 0.368 0.368
Ga3 0.306 0.633 0.633
Ga4 0.694 0.633 0.633
Gd1 0.500 0.915 0.915
Pr1 0.000 0.083 0.083
Pt1 0.500 0.204 0.204
Pt2 0.000 0.795 0.795

Calculated values
* total magnetization: 0.01 Bohr magnetons per cell
* space group: Amm2
* VASP energy: -5.1016 eV per atom

---

## DyTm2Al3PtAu2 (PBE)

Data for DyTm2Al3PtAu2 after structural relaxation.

a = 3.905 Å, b = 7.353 Å, c = 7.353 Å
α = 120.12°, β = 90.00°, γ = 90.00°
Atoms (fractional coordinates):
Al1 0.500 0.760 0.001
Al2 0.500 0.240 0.240
Al3 0.500 0.001 0.760
Au1 0.500 0.668 0.331
Au2 0.500 0.331 0.668
Dy1 0.000 0.590 0.590
Pt1 0.000 0.003 0.003
Tm1 0.000 0.000 0.408
Tm2 0.000 0.408 0.000

Calculated values
* total magnetization: 0.00 Bohr magnetons per cell
* space group: Amm2
* VASP energy: -5.0853 eV per atom

---

## LiZrCuS3 (PBE)

Data for LiZrCuS3 after structural relaxation.

a = 7.142 Å, b = 3.656 Å, c = 8.705 Å
α = 90.00°, β = 103.35°, γ = 90.00°
Atoms (fractional coordinates):
Cu1 0.588 0.250 0.093
Cu2 0.412 0.750 0.907
Li1 0.234 0.750 0.197
Li2 0.766 0.250 0.803
S1 0.762 0.750 0.029
S2 0.573 0.250 0.351
S3 0.081 0.250 0.353
S4 0.919 0.750 0.647
S5 0.427 0.750 0.649
S6 0.238 0.250 0.971
Zr1 0.812 0.750 0.329
Zr2 0.188 0.250 0.671

Calculated values
* total magnetization: 0.00 Bohr magnetons per cell
* space group: P2_1/m
* energy above the most stable polymorph in this dataset: 0 meV per atom

---

## NaNdSO (PBE)

Data for NaNdSO after structural relaxation.

a = 5.703 Å, b = 5.729 Å, c = 10.733 Å
α = 90.00°, β = 105.26°, γ = 90.00°
Atoms (fractional coordinates):
Na1 0.454 0.620 0.408
Na2 0.953 0.121 0.409
Na3 0.047 0.621 0.591
Na4 0.546 0.120 0.592
Nd1 0.556 0.356 0.114
Nd2 0.055 0.857 0.114
Nd3 0.945 0.357 0.886
Nd4 0.444 0.856 0.886
O1 0.250 0.106 0.000
O2 0.750 0.606 0.000
O3 0.250 0.606 0.000
O4 0.750 0.106 0.000
S1 0.404 0.117 0.322
S2 0.904 0.617 0.322
S3 0.096 0.117 0.678
S4 0.596 0.617 0.678

Calculated values
* total magnetization: 0.00 Bohr magnetons per cell
* space group: P2_1
* energy above the most stable polymorph in this dataset: 0 meV per atom

---

## GaTc (PBE)

Data for GaTc after structural relaxation.

a = 4.017 Å, b = 4.017 Å, c = 4.017 Å
α = 60.00°, β = 60.00°, γ = 60.00°
Site moments in Bohr magnetons follow the coordinates.
Atoms (fractional coordinates):
Ga1 0.000 0.000 0.000  -0.03
Tc1 0.250 0.250 0.250  1.82

Calculated values
* total magnetization: 1.98 Bohr magnetons per cell
* space group: F-43m
* energy above the most stable polymorph in this dataset: 1448 meV per atom

---

## Er2ScCu4Ge4 (PBE)

Data for Er2ScCu4Ge4 after structural relaxation.

a = 7.884 Å, b = 7.884 Å, c = 7.884 Å
α = 149.47°, β = 130.95°, γ = 58.88°
Atoms (fractional coordinates):
Cu1 0.637 0.329 0.308
Cu2 0.979 0.671 0.308
Cu3 0.021 0.329 0.692
Cu4 0.363 0.671 0.692
Er1 0.629 0.129 0.500
Er2 0.371 0.871 0.500
Ge1 0.214 0.214 0.000
Ge2 0.786 0.786 0.000
Ge3 0.700 0.500 0.200
Ge4 0.300 0.500 0.800
Sc1 0.000 0.000 0.000

Calculated values
* total magnetization: 0.00 Bohr magnetons per cell
* space group: Immm
* VASP energy: -5.0366 eV per atom